This record from the Alexandria database describes a relaxed KTl12In6 crystal. The functional is PBE.

a = 8.462 Å, b = 9.249 Å, c = 9.249 Å
α = 68.87°, β = 72.24°, γ = 107.76°
Fractional positions:
K 0.000 0.000 0.000
Tl 0.517 0.847 0.274
Tl 0.670 0.878 0.847
Tl 0.792 0.274 0.878
Tl 0.483 0.153 0.726
Tl 0.330 0.122 0.153
Tl 0.208 0.726 0.122
Tl 0.266 0.436 0.622
Tl 0.111 0.378 0.059
Tl 0.170 0.059 0.564
Tl 0.734 0.564 0.378
Tl 0.889 0.622 0.941
Tl 0.830 0.941 0.436
In 0.426 0.475 0.212
In 0.049 0.687 0.525
In 0.362 0.788 0.687
In 0.574 0.525 0.788
In 0.951 0.313 0.475
In 0.638 0.212 0.313

Values from the calculation:
- Energy above the lowest structure with this stoichiometry: 0.000 eV/atom
- Crystal system: trigonal
- E_form: 0.008 eV per atom
- Symmetry: R-3, No. 148